Entry w
Mg16ZrAl12: optimized geometry, PBE-GGA.

abc: 15.0538 15.0538 8.8126
angles: 90.00 90.00 120.00
With the nearest neighbours (Å) after each atom.
Space group R3m (No. 160, hexagonal axes)
Inequivalent atoms, fractional coordinates:
Mg 0.0000 0.0000 0.0000  3 Mg 3.13, 12 Al 3.16-3.23, 1 Zr 3.29
Mg 0.0060 0.3065 0.3068  5 Al 2.94-3.28, 7 Mg 3.04-3.15
Mg 0.0636 0.5318 0.2180  3 Al 2.84-2.94, 5 Mg 3.03-3.15
Mg 0.2179 0.1090 0.5059  5 Al 2.83-3.07, 1 Zr 3.04, 4 Mg 3.12-3.13
Mg 0.2202 0.4405 0.7852  4 Mg 3.03-3.13, 6 Al 3.05-3.09
Zr 0.0000 0.0000 0.6271  4 Mg 3.04-3.29, 9 Al 3.16-3.17
Al 0.0606 0.1211 0.3162  3 Al 2.68-2.74, 3 Mg 2.84-2.98
Al 0.0905 0.5453 0.7377  3 Al 2.68-2.77, 3 Mg 2.83-2.98
Al 0.1546 0.4865 0.4814  3 Al 2.67-2.77, 3 Mg 2.94-2.98

Computed properties:
D(E_F)	0.30	states/eV/atom
total magnetic moment	0.0	Bohr magnetons per cell

***

Entry x
Mg16ZrAl12: optimized geometry, PBE-GGA.

abc: 10.5543 14.9270 8.9722
angles: 90.00 124.55 90.00
With the nearest neighbours (Å) after each atom.
Space group Cm (No. 8)
Inequivalent atoms, fractional coordinates:
Mg 0.0000 0.0000 0.0000  3 Mg 3.04-3.17, 1 Zr 3.06, 6 Al 3.07-3.14
Mg 0.0064 0.0000 0.3571  4 Mg 3.11-3.17, 12 Al 3.12-3.30
Mg 0.0185 0.3029 0.6698  5 Al 2.90-3.24, 7 Mg 3.04-3.15
Mg 0.0460 0.3557 0.3502  5 Al 2.91-3.23, 6 Mg 3.06-3.18, 1 Zr 3.12
Mg 0.1048 0.5000 0.6341  5 Al 2.91-3.17, 7 Mg 3.09-3.19
Mg 0.2050 0.2016 0.0387  5 Al 2.88-3.18, 5 Mg 3.07-3.18, 1 Zr 3.20
Mg 0.3392 0.3301 0.3622  6 Al 3.02-3.15, 4 Mg 3.04-3.11
Mg 0.3445 0.3403 0.7484  5 Al 2.89-3.14, 7 Mg 3.04-3.23
Mg 0.3501 0.0000 0.7041  4 Mg 3.02-3.17, 6 Al 3.05-3.13
Mg 0.4484 0.1580 0.9576  5 Al 2.90-3.21, 6 Mg 3.02-3.17, 1 Zr 3.17
Zr 0.3207 0.0000 0.0744  5 Al 2.89-3.04, 7 Mg 3.06-3.20
Al 0.0017 0.1808 0.1661  3 Al 2.67-2.79, 3 Mg 2.90-2.98
Al 0.1029 0.0915 0.7270  3 Al 2.72-2.79, 2 Mg 2.88-3.02, 1 Zr 2.96
Al 0.1323 0.5000 0.1712  3 Al 2.69-2.78, 1 Zr 2.89, 2 Mg 2.96
Al 0.1874 0.1827 0.5343  3 Al 2.72-2.74, 3 Mg 2.89-2.99
Al 0.2343 0.4077 0.9887  3 Al 2.67-2.78, 2 Mg 2.90-2.99
Al 0.2812 0.0895 0.3495  3 Al 2.67-2.79, 3 Mg 2.91-2.99
Al 0.3234 0.5000 0.5344  3 Al 2.69-2.79, 3 Mg 2.91-2.99

Computed properties:
D(E_F)	0.40	states/eV/atom
total magnetic moment	0.0	Bohr magnetons per cell

***

Least stable structure: entry x

***

Entry w
Mn4Al: optimized geometry, PBE-GGA.

abc: 5.6737 5.6737 5.6737
angles: 90.00 90.00 90.00
With the nearest neighbours (Å) after each atom.
Space group Im-3m (No. 229)
Inequivalent atoms, fractional coordinates:
Mn 0.2500 0.2500 0.2500  2 Al 2.46
Al 0.0000 0.0000 0.0000  8 Mn 2.46

Computed properties:
D(E_F)	1.35	states/eV/atom
total magnetic moment	29.0	Bohr magnetons per cell

***

Entry x
Mn4Al: optimized geometry, PBE-GGA.

abc: 5.4936 5.4936 3.7779
angles: 90.00 90.00 90.00
With the nearest neighbours (Å) after each atom.
Space group I4/m (No. 87)
Inequivalent atoms, fractional coordinates:
Mn 0.0799 0.2984 0.0000  7 Mn 2.38-2.53, 3 Al 2.54-2.56
Al 0.0000 0.0000 0.5000  12 Mn 2.54-2.56

Computed properties:
D(E_F)	1.37	states/eV/atom
total magnetic moment	0.0	Bohr magnetons per cell

***

Entry y
Mn4Al: optimized geometry, PBE-GGA.

abc: 4.5328 4.5328 4.5328
angles: 90.00 90.00 90.00
With the nearest neighbours (Å) after each atom.
Space group Pm-3m (No. 221)
Inequivalent atoms, fractional coordinates:
Mn 0.0000 0.0000 0.0000  12 Mn 3.21
Mn 0.0000 0.5000 0.5000  2 Al 2.27
Al 0.5000 0.5000 0.5000  6 Mn 2.27

Computed properties:
D(E_F)	0.96	states/eV/atom
total magnetic moment	14.3	Bohr magnetons per cell

***

Least stable structure: entry y

***

Entry w
Mn5Al: optimized geometry, PBE-GGA.

abc: 2.8524 12.1458 4.0315
angles: 90.00 90.00 90.00
With the nearest neighbours (Å) after each atom.
Space group Cmmm (No. 65)
Inequivalent atoms, fractional coordinates:
Mn 0.0000 0.0000 0.0000  4 Mn 2.43, 4 Al 2.47
Mn 0.0000 0.1739 0.5000  6 Mn 2.34-2.47, 2 Al 2.55
Mn 0.0000 0.3383 0.0000  8 Mn 2.43-2.57
Al 0.0000 0.5000 0.5000  8 Mn 2.47-2.55

Computed properties:
D(E_F)	1.59	states/eV/atom
total magnetic moment	5.8	Bohr magnetons per cell

***

Entry x
Mn5Al: optimized geometry, PBE-GGA.

abc: 3.9241 8.9902 3.9249
angles: 90.00 90.00 90.00
With the nearest neighbours (Å) after each atom.
Space group Cmmm (No. 65)
Inequivalent atoms, fractional coordinates:
Mn 0.0000 0.0000 0.0000  8 Mn 2.53, 4 Al 2.78
Mn 0.0000 0.1777 0.5000  6 Mn 2.35-2.53, 2 Al 2.53
Mn 0.0000 0.3228 0.0000  6 Mn 2.36-2.53, 2 Al 2.53
Al 0.0000 0.5000 0.5000  12 Mn 2.53-2.78

Computed properties:
D(E_F)	0.98	states/eV/atom
total magnetic moment	7.1	Bohr magnetons per cell

***

Least stable structure: entry w